# 1
## Zr2HIr (PBE)

Data for crystalline Zr2HIr at its relaxed geometry.

## Properties
* SG: P-1
* energy above the lowest structure with this stoichiometry: 0.000 eV/atom

a b c (Å): 3.392 6.223 6.964
angles (deg): 112.45 104.03 90.05
Atoms (fractional coordinates):
Zr  0.343  0.047  0.260
Zr  0.043  0.504  0.660
Zr  0.618  0.055  0.811
Zr  0.317  0.512  0.210
H  0.218  0.167  0.012
H  0.443  0.393  0.459
Ir  0.708  0.694  0.992
Ir  0.952  0.865  0.479



# 2
## ZrHIr3 (PBE)

Data for crystalline ZrHIr3 at its relaxed geometry.

## Properties
* SG: Amm2
* energy above the lowest structure with this stoichiometry: 0.715 eV/atom

a b c (Å): 2.785 5.073 5.073
angles (deg): 80.51 90.00 90.00
Atoms (fractional coordinates):
H  0.000  0.738  0.262
Ir  0.500  0.904  0.492
Ir  0.500  0.508  0.096
Ir  0.000  0.434  0.566
Zr  0.500  0.044  0.956



# 3
## ZrHIr3 (PBE)

Data for crystalline ZrHIr3 at its relaxed geometry.

## Properties
* SG: R3m
* energy above the lowest structure with this stoichiometry: 0.008 eV/atom

a b c (Å): 5.706 5.706 5.706
angles (deg): 119.54 119.54 60.46
Atoms (fractional coordinates):
Zr  0.488  0.623  0.913
Zr  0.989  0.124  0.412
H  0.703  0.837  0.698
H  0.148  0.282  0.254
Ir  0.983  0.642  0.418
Ir  0.508  0.117  0.418
Ir  0.983  0.117  0.893
Ir  0.484  0.618  0.404
Ir  0.484  0.132  0.917
Ir  0.998  0.618  0.917



# 4
## ZrHIr3 (PBE)

Data for crystalline ZrHIr3 at its relaxed geometry.

## Properties
* SG: Cm
* energy above the lowest structure with this stoichiometry: 0.000 eV/atom

a b c (Å): 5.724 5.672 5.665
angles (deg): 90.00 60.33 119.70
Atoms (fractional coordinates):
H  0.737  0.886  0.464
H  0.782  0.909  0.950
Ir  0.232  0.634  0.268
Ir  0.736  0.142  0.267
Ir  0.736  0.630  0.267
Ir  0.244  0.140  0.762
Ir  0.735  0.140  0.763
Ir  0.735  0.631  0.763
Zr  0.255  0.146  0.256
Zr  0.219  0.627  0.774



| no. | total magnetic moment (μB per atom) | D(E_F) (states/eV/cell) |
| --- | --- | --- |
| 1 | 0.0000 | 4.3 |
| 2 | 0.0000 | 3.1 |
| 3 | 0.0000 | 3.5 |
| 4 | 0.0000 | 3.2 |